# 1
An optimized crystal structure of LiYSe. Source: Alexandria via LeMat-Bulk, functional PBE-GGA.

## Properties
For the raw formation energy, the calculation gives -848 meV/atom.

Cell and atoms, written as POSCAR:
```
LiYSe
1.0
-5.2977 -3.6454 -0.5206
-2.4258 -5.7080 -0.0329
-1.7211 -0.1258 3.1245
Y Se Li
1 1 1
Cartesian
-5.8606 -6.4896 0.5879
-3.7691 -3.2743 1.8695
-7.5384 -9.0689 -0.4402
```

# 2
An optimized crystal structure of VIn2TcCl. Source: Alexandria via LeMat-Bulk, functional PBE-GGA.

## Properties
For the raw formation energy, the calculation gives 938 meV/atom.

Cell and atoms, written as POSCAR:
```
VIn2TcCl
1.0
-4.8149 -1.9525 -1.2919
1.2598 -3.9424 1.2629
-1.7469 1.0291 4.9552
In Cl Tc V
2 1 1 1
Cartesian
-0.8735 0.5146 2.4776
-2.4075 -0.9763 -0.6460
0.6299 -1.9712 0.6315
-2.6510 -2.4329 2.4631
0.0000 0.0000 0.0000
```

# 3
An optimized crystal structure of Sm4CSe3. Source: Alexandria via LeMat-Bulk, functional PBE-GGA.

## Properties
For the raw formation energy, the calculation gives -1249 meV/atom.

Cell and atoms, written as POSCAR:
```
Sm4CSe3
1.0
5.7957 0.0000 0.0000
0.0000 8.7275 0.0000
0.0000 0.0000 9.1117
Se Sm C
6 8 2
Cartesian
0.3965 1.2280 4.5558
0.4114 5.7227 7.0535
3.3093 3.0048 2.4977
3.3093 3.0048 6.6140
3.2943 7.4994 0.0000
0.4114 5.7227 2.0582
0.3693 7.9440 0.0000
0.4930 7.1477 4.5558
0.3914 2.7583 2.0476
3.3908 1.5797 0.0000
3.2672 0.7835 4.5558
3.2893 5.9692 2.5082
3.2893 5.9692 6.6034
0.3914 2.7583 7.0641
3.0196 7.1242 4.5558
0.1218 1.6032 0.0000
```

# 4
An optimized crystal structure of Mn5Tc3. Source: Alexandria via LeMat-Bulk, functional PBE-GGA.

## Properties
The energy of formation comes out at 161.8 meV/atom.

Cell and atoms, written as POSCAR:
```
Mn5Tc3
1.0
4.8709 -0.0604 0.0279
2.3672 6.8147 0.4825
-2.4235 0.4847 6.3108
Mn Tc
10 6
Cartesian
2.3776 5.9226 2.2419
4.1424 1.9538 1.5408
1.2225 4.0427 3.7730
2.5328 5.5909 4.8816
0.2054 2.6924 5.4345
3.7946 3.8803 3.4927
2.6098 1.8763 3.8833
-0.0534 5.0640 5.9859
4.7442 4.7702 1.3397
2.0607 0.8121 1.4812
-1.1500 0.4634 5.6678
2.0396 3.2389 1.6614
2.7377 3.2549 5.9069
4.8726 6.2383 3.7918
0.2720 1.2275 3.4015
1.3333 0.5568 5.9566
```

# 5
An optimized crystal structure of La3ErTm2As6. Source: Alexandria via LeMat-Bulk, functional PBE-GGA.

## Properties
The energy of formation comes out at -1526.8 meV/atom.

Cell and atoms, written as POSCAR:
```
La3ErTm2As6
1.0
7.3224 -0.0005 0.0009
-3.6598 6.3421 0.0009
-1.2210 -2.1141 6.8839
La Er As Tm
3 1 6 2
Cartesian
4.8827 -0.0011 3.4428
1.2208 2.1137 3.4428
-2.4411 4.2286 3.4428
0.0000 0.0000 0.0000
-0.0041 4.2279 5.2780
2.4392 4.2235 1.6085
3.6641 2.1094 5.2780
0.0023 0.0040 5.2772
-1.2225 2.1181 1.6076
2.4456 -0.0004 1.6076
3.6616 2.1137 0.0009
0.0009 4.2279 0.0009
```

# 6
An optimized crystal structure of TmPbC. Source: Alexandria via LeMat-Bulk, functional PBE-GGA.

## Properties
The energy of formation comes out at 153.4 meV/atom.

Cell and atoms, written as POSCAR:
```
TmPbC
1.0
4.4098 0.0000 0.0000
0.0000 3.8272 0.0000
-2.2049 -1.9136 8.6871
Tm C Pb
2 2 2
Cartesian
2.2049 0.0000 6.9348
0.0000 1.9136 1.7523
1.5701 1.9136 0.0000
2.8397 1.9136 0.0000
2.2049 0.0000 3.5390
0.0000 1.9136 5.1482
```

Number 1: volume 23.9 A^3/atom, M_tot 0.000 μB per atom. Number 2: volume 24.8 A^3/atom, M_tot 1.029 μB per atom. Number 3: volume 28.8 A^3/atom, M_tot 0.000 μB per atom. Number 4: volume 13.1 A^3/atom, M_tot 0.134 μB per atom. Number 5: volume 26.6 A^3/atom, M_tot 0.000 μB per atom. Number 6: volume 24.4 A^3/atom, M_tot 0.000 μB per atom.